[1]
# Y5Fe

A relaxed Y5Fe crystal (PBE-GGA, Alexandria via LeMat-Bulk).

Structure (POSCAR):
```
Y5Fe
1.0
12.1361 0.0000 0.0000
0.0000 3.5566 0.0000
-3.0760 0.0000 7.8379
Y Fe
10 2
Cartesian
0.0000 0.0000 0.0000 Y
0.3942 1.7783 2.9311 Y
-0.4066 1.7783 6.1542 Y
3.3987 0.0000 1.6837 Y
2.5979 0.0000 4.9068 Y
6.0680 1.7783 0.0000 Y
6.4622 0.0000 2.9311 Y
5.6615 0.0000 6.1542 Y
9.4667 1.7783 1.6837 Y
8.6660 1.7783 4.9068 Y
-1.5380 0.0000 3.9189 Fe
4.5301 1.7783 3.9189 Fe
```

Output
Crystal system ... monoclinic
V ... 28.2 Å³ per atom
ΔE to the lowest computed polymorph ... 0.000 eV per atom
Calculated formation energy ... 0.075 eV/atom

=====

[2]
# TiGaOsRu

A relaxed TiGaOsRu crystal (PBE-GGA, Alexandria via LeMat-Bulk).

Structure (POSCAR):
```
TiGaOsRu
1.0
3.0836 0.0000 0.0000
0.0000 3.0836 0.0000
0.0000 0.0000 6.0521
Ti Ga Os Ru
1 1 1 1
Cartesian
0.0000 0.0000 0.0000 Ti
0.0000 0.0000 3.0459 Ga
1.5418 1.5418 1.5368 Os
1.5418 1.5418 4.5232 Ru
```

Output
Crystal system ... tetragonal
V ... 14.4 Å³ per atom
Calculated formation energy ... -0.475 eV/atom

=====

Question: Which of these has the lowest V?
Answer: TiGaOsRu